(1)
# Tl5Ag2Sb5

A geometry-optimized Tl5Ag2Sb5 structure (PBE, the Alexandria database).

## Properties
- VASP energy: -3.1016 eV per atom
- Formation energy without anion corrections: 77 meV/atom
- M_tot: 0.000 μB/cell
- Space group: P-1 (2)

abc: 5.2731 6.8155 10.9105
angles: 83.00 79.20 75.19
Element x y z (fractional)
Tl 0.0000 0.0000 0.0000
Tl 0.0740 0.2118 0.5523
Tl 0.2251 0.4752 0.0976
Tl 0.7749 0.5248 0.9024
Tl 0.9260 0.7882 0.4477
Ag 0.2468 0.0784 0.2665
Ag 0.7532 0.9216 0.7335
Sb 0.3047 0.7572 0.7295
Sb 0.3829 0.2979 0.7785
Sb 0.5000 0.5000 0.5000
Sb 0.6171 0.7021 0.2215
Sb 0.6953 0.2428 0.2705

(2)
# Tl4AgSb

A geometry-optimized Tl4AgSb structure (PBE, the Alexandria database).

## Properties
- Energy above the lowest structure with this stoichiometry: 0.00 eV per formula unit
- VASP energy: -2.6639 eV per atom
- Formation energy without anion corrections: 76 meV/atom
- M_tot: 0.000 μB/cell
- Space group: I4/mcm (140)

abc: 8.1465 8.1465 8.1465
angles: 122.22 122.22 86.19
Element x y z (fractional)
Tl 0.0165 0.5165 0.8014
Tl 0.2150 0.0165 0.5000
Tl 0.2850 0.7850 0.8014
Tl 0.4835 0.2850 0.5000
Tl 0.5165 0.7150 0.5000
Tl 0.7150 0.2150 0.1986
Tl 0.7850 0.9835 0.5000
Tl 0.9835 0.4835 0.1986
Ag 0.0000 0.0000 0.0000
Ag 0.5000 0.5000 0.0000
Sb 0.2500 0.2500 0.0000
Sb 0.7500 0.7500 0.0000

Among the records above, which one has the lowest formation energy without anion corrections? Tl4AgSb